No. 1
The following is a DFT calculation (PBE) of LaCe2Ge2Au2 after structural relaxation. Values from VASP.

Properties
DOS(E_F), states/eV/cell: 10.30
Energy of formation from the pure elements, meV per atom: -647
SG: R-3m (166)

Cell and atoms, written as Quantum ESPRESSO input:
```
&SYSTEM
  ibrav = 0, nat = 7, ntyp = 4
/
ATOMIC_SPECIES
La 138.91 La.upf
Ce 140.12 Ce.upf
Ge 72.64 Ge.upf
Au 196.97 Au.upf
ATOMIC_POSITIONS crystal
La 0.0000 0.0000 0.0000
Ce 0.1422 0.1422 0.5735
Ce 0.8578 0.8578 0.4265
Ge 0.7416 0.7416 0.7752
Ge 0.2584 0.2584 0.2248
Au 0.5916 0.5916 0.2252
Au 0.4084 0.4084 0.7748
CELL_PARAMETERS angstrom
4.4799 0.0000 0.0000
2.2400 3.8797 0.0000
2.2400 1.2932 9.3719
```

No. 2
The following is a DFT calculation (PBE) of SiH2Br6 after structural relaxation. Values from VASP.

Properties
DOS(E_F), states/eV/cell: 0.00
Calculated total energy, eV/cell: -54.24
SG: C2/c (15)

Cell and atoms, written as Quantum ESPRESSO input:
```
&SYSTEM
  ibrav = 0, nat = 18, ntyp = 3
/
ATOMIC_SPECIES
Si 28.09 Si.upf
H 1.01 H.upf
Br 79.90 Br.upf
ATOMIC_POSITIONS crystal
Si 0.2500 0.8223 0.1777
Si 0.7500 0.1777 0.8223
H 0.2642 0.3654 0.3340
H 0.2358 0.6660 0.6346
H 0.7358 0.6346 0.6660
H 0.7642 0.3340 0.3654
Br 0.5738 0.2832 0.4153
Br 0.9262 0.5847 0.7168
Br 0.4262 0.7168 0.5847
Br 0.0738 0.4153 0.2832
Br 0.0453 0.1484 0.6557
Br 0.4547 0.3443 0.8516
Br 0.9547 0.8516 0.3443
Br 0.5453 0.6557 0.1484
Br 0.8845 0.2060 0.9889
Br 0.6155 0.0111 0.7940
Br 0.1155 0.7940 0.0111
Br 0.3845 0.9889 0.2060
CELL_PARAMETERS angstrom
5.2225 -0.1634 2.7358
3.5875 11.0411 -0.9322
-3.1204 -1.4429 11.1277
```

Number 1: calculated volume 163 Å³/f.u.. Number 2: calculated volume 360 Å³/f.u..